This record from Alexandria via LeMat-Bulk describes a geometry-optimized BeSnO2 structure. The functional is PBE-GGA.

Structure (extended XYZ):
```
8
Lattice="-2.531 2.531 3.668 2.531 -2.531 3.668 2.531 2.531 -3.668" Properties=species:S:1:pos:R:3 pbc="T T T"
Be 0.000 0.000 0.000
Be 0.000 2.531 1.834
Sn 2.531 0.000 1.834
Sn 0.000 0.000 3.668
O 0.608 1.265 0.917
O -1.265 1.923 2.751
O -0.608 3.796 0.917
O 1.265 3.139 2.751
```

Properties
E_form (uncorrected)   -1618 meV/atom
Crystal system   tetragonal
DFT total energy   -6.03 eV/atom
ΔE to the lowest computed polymorph   0 meV/atom

This record from Alexandria via LeMat-Bulk describes a geometry-optimized LaNdSm2Er structure. The functional is PBE-GGA.

Structure (extended XYZ):
```
10
Lattice="8.359 0.000 0.000 0.000 6.141 0.000 -0.703 0.000 7.027" Properties=species:S:1:pos:R:3 pbc="T T T"
La 0.000 0.000 0.000
La -0.351 0.000 3.513
Nd -0.176 2.892 1.757
Nd -0.527 3.249 5.270
Sm 2.374 2.560 4.097
Sm 2.726 3.581 0.584
Sm 4.931 2.560 6.443
Sm 5.282 3.581 2.930
Er 4.004 0.510 1.757
Er 3.652 5.631 5.270
```

Properties
Energy relative to the elements   0.311 eV per atom
Crystal system   monoclinic
DFT total energy   -4.43 eV/atom

This record from Alexandria via LeMat-Bulk describes a geometry-optimized Ba6P2RhCl3 structure. The functional is PBE-GGA.

Structure (extended XYZ):
```
12
Lattice="3.994 -6.917 0.000 3.994 6.917 0.000 -2.664 0.000 7.734" Properties=species:S:1:pos:R:3 pbc="T T T"
Ba 1.305 2.260 1.694
Ba -0.056 0.000 6.046
Ba 1.305 -2.260 1.694
Ba 4.019 2.260 6.040
Ba 5.380 0.000 1.688
Ba 4.019 -2.260 6.040
P 3.994 2.306 0.000
P 3.994 -2.306 0.000
Rh 0.000 0.000 0.000
Cl 2.662 4.606 3.867
Cl 2.662 0.000 3.867
Cl 2.662 -4.606 3.867
```

Properties
E_form (uncorrected)   -1468 meV/atom
Crystal system   monoclinic
DFT total energy   -4.41 eV/atom